1.
Entry from Alexandria: a relaxed ScBeGa2Cu4 crystal (PBE).

It has space group R-3m (No. 166, hexagonal axes), with a = 4.0953 Å, b = 4.0953 Å, c = 22.8934 Å, α = 90.00°, β = 90.00° and γ = 120.00°. The inequivalent atoms are Sc at (0.0000, 0.0000, 0.0000), Be at (0.0000, 0.0000, 0.5000), Ga at (0.0000, 0.0000, 0.2497), Cu at (0.0000, 0.0000, 0.1356) and Cu at (0.0000, 0.0000, 0.4014).

The calculation puts the formation energy at -176.3 meV/atom. The value obtained for the total energy is -4.24 eV/atom. The total magnetization comes out at 0.00 Bohr magnetons per cell.

---

2.
Entry from Alexandria: a relaxed BeGaCu2Se4 crystal (PBE).

It has space group I-42m (No. 121), with a = 5.397 Å, b = 5.397 Å, c = 11.392 Å, α = 90.00°, β = 90.00° and γ = 90.00°. The inequivalent atoms are Be at (0.000, 0.000, 0.000), Ga at (0.000, 0.000, 0.500), Cu at (0.000, 0.500, 0.250) and Se at (0.234, 0.234, 0.879).

The value obtained for the total energy is -4.07 eV/atom. The total magnetization comes out at 0.00 Bohr magnetons per cell. The raw formation energy comes out at -0.4620 eV per atom.

---

Taking the records one at a time from the top gives calculated density values of 6.7 5.2 g/cm³.